# Cs3HgN GGA-PBE relaxed
data_Cs3HgN
_chemical_formula_sum 'Cs3 Hg1 N1'
_space_group_name_H-M_alt 'P 1'
_space_group_IT_number 1
_cell_length_a 7.2722
_cell_length_b 7.2722
_cell_length_c 7.2722
_cell_angle_alpha 90.00
_cell_angle_beta 90.00
_cell_angle_gamma 90.00
loop_
_space_group_symop_operation_xyz
'x,y,z'
loop_
_atom_site_label
_atom_site_fract_x
_atom_site_fract_y
_atom_site_fract_z
_atom_site_occupancy
Cs1 0.0000 0.0000 0.5000 1
Cs2 0.0000 0.5000 0.0000 1
Cs3 0.5000 0.0000 0.0000 1
Hg1 0.0000 0.0000 0.0000 1
N1 0.5000 0.5000 0.5000 1
# Raw formation energy: 857 meV per atom
# Magnetic moment: 2.00 Bohr magnetons per cell
# SG: Pm-3m, No. 221